[1]
Entry from the Alexandria database: a geometry-optimized CaB4Ru4 structure (PBE).

Computed properties:
Density   7.6 g/cm3
Crystal system   tetragonal
Space group   No. 137
Formation energy   -306 meV per atom
Total moment   0.0 μB per formula unit
E_tot   -7.62 eV per atom
Energy relative to the lowest polymorph listed for this composition   61 meV/atom

Cell: 5.3999 5.3999 7.2774 Å, 90.00 90.00 90.00°
Atoms (fractional coordinates):
Ca: 0.2500 0.7500 0.2500
Ca: 0.7500 0.2500 0.7500
B: 0.0770 0.2500 0.1004
B: 0.2500 0.0770 0.6004
B: 0.2500 0.4230 0.6004
B: 0.4230 0.2500 0.1004
B: 0.5770 0.7500 0.8996
B: 0.7500 0.5770 0.3996
B: 0.7500 0.9230 0.3996
B: 0.9230 0.7500 0.8996
Ru: 0.0052 0.7500 0.6084
Ru: 0.2500 0.5052 0.8916
Ru: 0.2500 0.9948 0.8916
Ru: 0.4948 0.7500 0.6084
Ru: 0.5052 0.2500 0.3916
Ru: 0.7500 0.0052 0.1084
Ru: 0.7500 0.4948 0.1084
Ru: 0.9948 0.2500 0.3916

[2]
Entry from the Alexandria database: a geometry-optimized CaB3Ru3 structure (PBE).

Computed properties:
Density   6.4 g/cm3
Crystal system   cubic
Space group   No. 198
Formation energy   65 meV per atom
Total moment   0.0 μB per formula unit
E_tot   -7.06 eV per atom

Cell: 7.2903 7.2903 7.2903 Å, 90.00 90.00 90.00°
Atoms (fractional coordinates):
Ca: 0.0372 0.4628 0.5372
Ca: 0.4628 0.5372 0.0372
Ca: 0.5372 0.0372 0.4628
Ca: 0.9628 0.9628 0.9628
B: 0.0462 0.6667 0.1811
B: 0.1667 0.3189 0.9538
B: 0.1811 0.0462 0.6667
B: 0.3189 0.9538 0.1667
B: 0.3333 0.6811 0.4538
B: 0.4538 0.3333 0.6811
B: 0.5462 0.8333 0.8189
B: 0.6667 0.1811 0.0462
B: 0.6811 0.4538 0.3333
B: 0.8189 0.5462 0.8333
B: 0.8333 0.8189 0.5462
B: 0.9538 0.1667 0.3189
Ru: 0.0826 0.5826 0.9174
Ru: 0.1354 0.8646 0.3646
Ru: 0.2144 0.2144 0.2144
Ru: 0.2856 0.7856 0.7144
Ru: 0.3646 0.1354 0.8646
Ru: 0.4174 0.4174 0.4174
Ru: 0.5826 0.9174 0.0826
Ru: 0.6354 0.6354 0.6354
Ru: 0.7144 0.2856 0.7856
Ru: 0.7856 0.7144 0.2856
Ru: 0.8646 0.3646 0.1354
Ru: 0.9174 0.0826 0.5826

[3]
Entry from the Alexandria database: a geometry-optimized CaB2Ru structure (PBE).

Computed properties:
Density   5.5 g/cm3
Crystal system   cubic
Space group   No. 225
Formation energy   674 meV per atom
Total moment   0.0 μB per formula unit
E_tot   -5.48 eV per atom
Energy relative to the lowest polymorph listed for this composition   704 meV/atom

Cell: 4.1056 4.1056 4.1056 Å, 60.00 60.00 60.00°
Atoms (fractional coordinates):
Ca: 0.0000 0.0000 0.0000
B: 0.2500 0.2500 0.2500
B: 0.7500 0.7500 0.7500
Ru: 0.5000 0.5000 0.5000

[4]
Entry from the Alexandria database: a geometry-optimized CaB3Ru structure (PBE).

Computed properties:
Density   3.9 g/cm3
Crystal system   cubic
Space group   No. 221
Formation energy   3072 meV per atom
Total moment   1.3 μB per formula unit
E_tot   -3.19 eV per atom
Energy relative to the lowest polymorph listed for this composition   2774 meV/atom

Cell: 4.1876 4.1876 4.1876 Å, 90.00 90.00 90.00°
Atoms (fractional coordinates):
Ca: 0.0000 0.0000 0.0000
B: 0.0000 0.0000 0.5000
B: 0.0000 0.5000 0.0000
B: 0.5000 0.0000 0.0000
Ru: 0.5000 0.5000 0.5000

[5]
Entry from the Alexandria database: a geometry-optimized CaB4Ru structure (PBE).

Computed properties:
Density   5.0 g/cm3
Crystal system   orthorhombic
Space group   No. 55
Formation energy   -384 meV per atom
Total moment   0.0 μB per formula unit
E_tot   -6.72 eV per atom

Cell: 5.9805 11.5822 3.5384 Å, 90.00 90.00 90.00°
Atoms (fractional coordinates):
Ca: 0.1290 0.1505 0.0000
Ca: 0.3710 0.6505 0.0000
Ca: 0.6290 0.3495 0.0000
Ca: 0.8710 0.8495 0.0000
B: 0.0246 0.6918 0.5000
B: 0.1124 0.5469 0.5000
B: 0.1358 0.9688 0.5000
B: 0.2145 0.8152 0.5000
B: 0.2855 0.3152 0.5000
B: 0.3642 0.4688 0.5000
B: 0.3876 0.0469 0.5000
B: 0.4754 0.1918 0.5000
B: 0.5246 0.8082 0.5000
B: 0.6124 0.9531 0.5000
B: 0.6358 0.5312 0.5000
B: 0.7145 0.6848 0.5000
B: 0.7855 0.1848 0.5000
B: 0.8642 0.0312 0.5000
B: 0.8876 0.4531 0.5000
B: 0.9754 0.3082 0.5000
Ru: 0.1347 0.4128 0.0000
Ru: 0.3653 0.9128 0.0000
Ru: 0.6347 0.0872 0.0000
Ru: 0.8653 0.5872 0.0000

[6]
Entry from the Alexandria database: a geometry-optimized CaB2Ru structure (PBE).

Computed properties:
Density   4.8 g/cm3
Crystal system   trigonal
Space group   No. 166
Formation energy   -31 meV per atom
Total moment   0.0 μB per formula unit
E_tot   -6.19 eV per atom
Energy relative to the lowest polymorph listed for this composition   0 meV/atom

Cell: 5.3447 5.3447 5.3447 Å, 39.76 39.76 39.76°
Atoms (fractional coordinates):
Ca: 0.0000 0.0000 0.0000
B: 0.1968 0.1968 0.1968
B: 0.8032 0.8032 0.8032
Ru: 0.5000 0.5000 0.5000

[7]
Entry from the Alexandria database: a geometry-optimized Ca2BRuSe structure (PBE).

Computed properties:
E_form (uncorrected)   -0.38 eV/atom
Density   4.2 g/cm3
Crystal system   tetragonal
Space group   No. 123
Total moment   0.1 μB per formula unit
E_tot   -5.07 eV per atom

Cell: 5.1858 5.1858 3.9406 Å, 90.00 90.00 90.00°
Atoms (fractional coordinates):
Ca: 0.0000 0.5000 0.0000
Ca: 0.5000 0.0000 0.0000
B: 0.0000 0.0000 0.0000
Ru: 0.0000 0.0000 0.5000
Se: 0.5000 0.5000 0.5000

[8]
Entry from the Alexandria database: a geometry-optimized Ca2Si2BRu2 structure (PBE).

Computed properties:
E_form (uncorrected)   -0.59 eV/atom
Density   4.6 g/cm3
Crystal system   monoclinic
Space group   No. 12
Total moment   0.0 μB per formula unit
E_tot   -6.31 eV per atom

Cell: 5.8391 5.8391 7.2137 Å, 127.24 127.24 42.31°
Atoms (fractional coordinates):
Ca: 0.0706 0.0706 0.3340
Ca: 0.9294 0.9294 0.6660
Si: 0.3440 0.3440 0.9035
Si: 0.6560 0.6560 0.0965
B: 0.5000 0.5000 0.5000
Ru: 0.2878 0.2878 0.1756
Ru: 0.7121 0.7121 0.8244

Copy entry 5 word for word.
Entry from the Alexandria database: a geometry-optimized CaB4Ru structure (PBE).

Computed properties:
Density   5.0 g/cm3
Crystal system   orthorhombic
Space group   No. 55
Formation energy   -384 meV per atom
Total moment   0.0 μB per formula unit
E_tot   -6.72 eV per atom

Cell: 5.9805 11.5822 3.5384 Å, 90.00 90.00 90.00°
Atoms (fractional coordinates):
Ca: 0.1290 0.1505 0.0000
Ca: 0.3710 0.6505 0.0000
Ca: 0.6290 0.3495 0.0000
Ca: 0.8710 0.8495 0.0000
B: 0.0246 0.6918 0.5000
B: 0.1124 0.5469 0.5000
B: 0.1358 0.9688 0.5000
B: 0.2145 0.8152 0.5000
B: 0.2855 0.3152 0.5000
B: 0.3642 0.4688 0.5000
B: 0.3876 0.0469 0.5000
B: 0.4754 0.1918 0.5000
B: 0.5246 0.8082 0.5000
B: 0.6124 0.9531 0.5000
B: 0.6358 0.5312 0.5000
B: 0.7145 0.6848 0.5000
B: 0.7855 0.1848 0.5000
B: 0.8642 0.0312 0.5000
B: 0.8876 0.4531 0.5000
B: 0.9754 0.3082 0.5000
Ru: 0.1347 0.4128 0.0000
Ru: 0.3653 0.9128 0.0000
Ru: 0.6347 0.0872 0.0000
Ru: 0.8653 0.5872 0.0000

Q: E_tot of number 3 (CaB2Ru)?
A: -5.48 eV per atom

Please write out number 2 again, unchanged.
Entry from the Alexandria database: a geometry-optimized CaB3Ru3 structure (PBE).

Computed properties:
Density   6.4 g/cm3
Crystal system   cubic
Space group   No. 198
Formation energy   65 meV per atom
Total moment   0.0 μB per formula unit
E_tot   -7.06 eV per atom

Cell: 7.2903 7.2903 7.2903 Å, 90.00 90.00 90.00°
Atoms (fractional coordinates):
Ca: 0.0372 0.4628 0.5372
Ca: 0.4628 0.5372 0.0372
Ca: 0.5372 0.0372 0.4628
Ca: 0.9628 0.9628 0.9628
B: 0.0462 0.6667 0.1811
B: 0.1667 0.3189 0.9538
B: 0.1811 0.0462 0.6667
B: 0.3189 0.9538 0.1667
B: 0.3333 0.6811 0.4538
B: 0.4538 0.3333 0.6811
B: 0.5462 0.8333 0.8189
B: 0.6667 0.1811 0.0462
B: 0.6811 0.4538 0.3333
B: 0.8189 0.5462 0.8333
B: 0.8333 0.8189 0.5462
B: 0.9538 0.1667 0.3189
Ru: 0.0826 0.5826 0.9174
Ru: 0.1354 0.8646 0.3646
Ru: 0.2144 0.2144 0.2144
Ru: 0.2856 0.7856 0.7144
Ru: 0.3646 0.1354 0.8646
Ru: 0.4174 0.4174 0.4174
Ru: 0.5826 0.9174 0.0826
Ru: 0.6354 0.6354 0.6354
Ru: 0.7144 0.2856 0.7856
Ru: 0.7856 0.7144 0.2856
Ru: 0.8646 0.3646 0.1354
Ru: 0.9174 0.0826 0.5826

Q: E_tot of number 6 (CaB2Ru)?
A: -6.19 eV per atom